No. 1
The following is a DFT calculation (GGA-PBE) of crystalline CdIrCl2 at its relaxed geometry.

Cell lengths 3.556, 6.506, 6.502 Å; angles 49.42, 90.00, 90.00 degrees
Fractional coordinates of all 4 atoms:
Cl1 0.000 0.118 0.118
Cl2 0.000 0.382 0.382
Ir1 0.500 0.250 0.250
Cd1 0.500 0.750 0.750

- magnetic moment (μB/cell) = 0.00
- raw formation energy (eV/atom) = -0.18
- space group = Cmmm, No. 65



No. 2
The following is a DFT calculation (GGA-PBE) of crystalline CdIrCl2 at its relaxed geometry.

Cell lengths 3.164, 3.164, 8.466 Å; angles 90.00, 90.00, 90.00 degrees
Each line ends with the local moment (μB).
Fractional coordinates of all 4 atoms:
Cl1 0.000 0.000 0.931  -0.01
Cl2 0.500 0.500 0.331  0.28
Ir1 0.000 0.000 0.504  1.22
Cd1 0.500 0.500 0.734  -0.01

- magnetic moment (μB/cell) = 1.55
- raw formation energy (eV/atom) = 0.18
- space group = P4mm, No. 99